This record from the Alexandria database describes a geometry-optimized Tb2PmHg structure. The functional is PBE-GGA.

ΔE to the lowest computed polymorph = 62 meV/atom
D(E_F) = 0.875 states/eV per atom
crystal system = trigonal
formation energy from the elements = -0.169 eV per atom
magnetization = 0.00 μB per formula unit

Lattice parameters (Å, degrees): 3.6451 3.6451 31.9983 90.00 90.00 120.00
Space group R-3m (No. 166, hexagonal axes)
Symmetry-distinct sites (fractional):
Tb 0.0000 0.0000 0.2418 [6 per cell]
Pm 0.0000 0.0000 0.0000 [3 per cell]
Hg 0.0000 0.0000 0.5000 [3 per cell]